(1)
DFT (PBE) results for a geometry-optimized Na2YAgH structure.

abc: 6.3113 6.3113 3.8633
angles: 90.00 90.00 90.00
Last column: nearest neighbours and their distance in Å.
Space group P4/mmm (No. 123)
One atom of each set of equivalent atoms:
1 Na 0.0000 0.5000 0.0000 x2  2 Y 3.16
2 Y 0.0000 0.0000 0.0000 x1  2 H 1.93
3 Ag 0.5000 0.5000 0.5000 x1  8 Na 3.70, 2 Ag 3.86
4 H 0.0000 0.0000 0.5000 x1  2 Y 1.93

Output
As for the density: 2.63 g/cm3. For the total energy, the calculation gives -0.093 Ha/atom.

---

(2)
DFT (PBE) results for a geometry-optimized NaZr2AgH structure.

abc: 5.1224 5.1224 4.6467
angles: 90.00 90.00 90.00
Last column: nearest neighbours and their distance in Å.
Space group P4/mmm (No. 123)
One atom of each set of equivalent atoms:
1 Na 0.0000 0.0000 0.0000 x1  2 Ag 2.32, 4 Zr 2.56
2 Zr 0.0000 0.5000 0.0000 x2  2 Na 2.56
3 Ag 0.0000 0.0000 0.5000 x1  2 Na 2.32
4 H 0.5000 0.5000 0.5000 x1  8 Zr 3.46, 4 Ag 3.62

Output
As for the density: 4.28 g/cm3. For the total energy, the calculation gives -0.113 Ha/atom.

---

(3)
DFT (PBE) results for a geometry-optimized NaZrAgH2 structure.

abc: 3.9878 3.9878 5.6677
angles: 90.00 90.00 90.00
Last column: nearest neighbours and their distance in Å.
Space group P4/mmm (No. 123)
One atom of each set of equivalent atoms:
1 Na 0.0000 0.0000 0.0000 x1  4 H 1.99
2 Zr 0.0000 0.0000 0.5000 x1  4 Ag 2.82, 2 Na 2.83
3 Ag 0.5000 0.5000 0.5000 x1  4 Zr 2.82
4 H 0.0000 0.5000 0.0000 x2  2 Na 1.99

Output
As for the density: 4.13 g/cm3. For the total energy, the calculation gives -0.104 Ha/atom.

---

(4)
DFT (PBE) results for a geometry-optimized NbAgH3 structure.

abc: 3.6763 3.6763 3.6763
angles: 90.00 90.00 90.00
Last column: nearest neighbours and their distance in Å.
Space group Pm-3m (No. 221)
One atom of each set of equivalent atoms:
1 Nb 0.0000 0.0000 0.0000 x1  6 H 1.84
2 Ag 0.5000 0.5000 0.5000 x1  12 H 2.60
3 H 0.0000 0.0000 0.5000 x3  2 Nb 1.84

Output
As for the density: 6.81 g/cm3. For the total energy, the calculation gives -0.159 Ha/atom. The value obtained for the offset from the most stable computed form is 0.00 eV per formula unit.

---

(5)
DFT (PBE) results for a geometry-optimized Nb3AgH structure.

abc: 4.9842 4.9842 4.9842
angles: 90.00 90.00 90.00
Last column: nearest neighbours and their distance in Å.
Space group Pm-3m (No. 221)
One atom of each set of equivalent atoms:
1 Nb 0.0000 0.0000 0.5000 x3  2 Ag 2.49
2 Ag 0.0000 0.0000 0.0000 x1  6 Nb 2.49
3 H 0.5000 0.5000 0.5000 x1  12 Nb 3.52

Output
As for the density: 5.20 g/cm3. For the total energy, the calculation gives -0.175 Ha/atom. The value obtained for the offset from the most stable computed form is 12.19 eV per formula unit.

---

(6)
DFT (PBE) results for a geometry-optimized NbAg3H structure.

abc: 4.2562 4.2562 4.2562
angles: 90.00 90.00 90.00
Last column: nearest neighbours and their distance in Å.
Space group Pm-3m (No. 221)
One atom of each set of equivalent atoms:
1 Nb 0.0000 0.0000 0.0000 x1  12 Ag 3.01
2 Ag 0.0000 0.5000 0.5000 x3  2 H 2.13
3 H 0.5000 0.5000 0.5000 x1  6 Ag 2.13

Output
As for the density: 8.99 g/cm3. For the total energy, the calculation gives -0.137 Ha/atom.

---

(7)
DFT (PBE) results for a geometry-optimized Nb2AgH structure.

abc: 6.2874 6.2874 6.2874
angles: 90.00 90.00 90.00
Last column: nearest neighbours and their distance in Å.
Space group Fm-3m (No. 225)
One atom of each set of equivalent atoms:
1 Nb 0.2500 0.2500 0.2500 x8  4 H 2.72, 4 Ag 2.72
2 Ag 0.0000 0.0000 0.0000 x4  8 Nb 2.72
3 H 0.0000 0.0000 0.5000 x4  8 Nb 2.72

Output
As for the density: 7.88 g/cm3. For the total energy, the calculation gives -0.213 Ha/atom. The value obtained for the offset from the most stable computed form is 1.93 eV per formula unit.

---

(8)
DFT (PBE) results for a geometry-optimized NbAgH3 structure.

abc: 3.5770 3.5770 3.5770
angles: 90.00 90.00 90.00
Last column: nearest neighbours and their distance in Å.
Space group Pm-3m (No. 221)
One atom of each set of equivalent atoms:
1 Nb 0.0000 0.0000 0.0000 x1  12 H 2.53
2 Ag 0.5000 0.5000 0.5000 x1  6 H 1.79
3 H 0.0000 0.5000 0.5000 x3  2 Ag 1.79

Output
As for the density: 7.39 g/cm3. For the total energy, the calculation gives -0.146 Ha/atom. The value obtained for the offset from the most stable computed form is 1.71 eV per formula unit.

---

(9)
DFT (PBE) results for a geometry-optimized Nb3AgH structure.

abc: 4.2021 4.2021 4.2021
angles: 90.00 90.00 90.00
Last column: nearest neighbours and their distance in Å.
Space group Pm-3m (No. 221)
One atom of each set of equivalent atoms:
1 Nb 0.0000 0.0000 0.5000 x3  2 H 2.10
2 Ag 0.5000 0.5000 0.5000 x1  12 Nb 2.97
3 H 0.0000 0.0000 0.0000 x1  6 Nb 2.10

Output
As for the density: 8.67 g/cm3. For the total energy, the calculation gives -0.264 Ha/atom. The value obtained for the offset from the most stable computed form is 0.00 eV per formula unit.

---

(10)
DFT (PBE) results for a geometry-optimized Nb2AgH structure.

abc: 2.8809 2.8809 25.1792
angles: 90.00 90.00 120.00
Last column: nearest neighbours and their distance in Å.
Space group R-3m (No. 166, hexagonal axes)
One atom of each set of equivalent atoms:
1 Nb 0.0000 0.0000 0.1130 x6  3 H 2.14
2 Ag 0.0000 0.0000 0.0000 x3  2 Nb 2.85, 6 Ag 2.88
3 H 0.0000 0.0000 0.5000 x3  6 Nb 2.14

Output
As for the density: 8.11 g/cm3. For the total energy, the calculation gives -0.231 Ha/atom. The value obtained for the offset from the most stable computed form is 0.00 eV per formula unit.

---

(11)
DFT (PBE) results for a geometry-optimized Nb2AgH2 structure.

abc: 3.6204 3.6204 9.1550
angles: 90.00 90.00 90.00
Last column: nearest neighbours and their distance in Å.
Space group I4/mmm (No. 139)
One atom of each set of equivalent atoms:
1 Nb 0.0000 0.0000 0.1648 x4  4 H 1.97
2 Ag 0.0000 0.0000 0.5000 x2  8 H 2.92, 10 Nb 2.97-3.07
3 H 0.0000 0.5000 0.2500 x4  4 Nb 1.97

Output
As for the density: 8.18 g/cm3. For the total energy, the calculation gives -0.218 Ha/atom.

---

(12)
DFT (PBE) results for a geometry-optimized Nb2AgH structure.

abc: 5.7669 5.7669 7.9016
angles: 90.00 90.00 90.00
Last column: nearest neighbours and their distance in Å.
Space group I-42d (No. 122)
One atom of each set of equivalent atoms:
1 Nb 0.0409 0.7500 0.1250 x8  2 H 1.76
2 Ag 0.0000 0.0000 0.5000 x4  8 Nb 3.17-3.30, 4 H 3.50, 4 Ag 3.50
3 H 0.0000 0.0000 0.0000 x4  4 Nb 1.76

Output
As for the density: 7.45 g/cm3. For the total energy, the calculation gives -0.223 Ha/atom. The value obtained for the offset from the most stable computed form is 0.78 eV per formula unit.

---

(13)
DFT (PBE) results for a geometry-optimized Nb2NiAgH structure.

abc: 4.0730 4.0730 4.0344
angles: 90.00 90.00 90.00
Last column: nearest neighbours and their distance in Å.
Space group P4/mmm (No. 123)
One atom of each set of equivalent atoms:
1 Nb 0.0000 0.5000 0.0000 x2  2 H 2.04
2 Ni 0.0000 0.0000 0.5000 x1  2 H 2.02
3 Ag 0.5000 0.5000 0.5000 x1  8 Nb 2.87, 4 Ni 2.88
4 H 0.0000 0.0000 0.0000 x1  2 Ni 2.02, 4 Nb 2.04

Output
As for the density: 8.77 g/cm3. For the total energy, the calculation gives -0.235 Ha/atom.

---

(14)
DFT (PBE) results for a geometry-optimized Nb2AgHRh structure.

abc: 4.1211 4.1211 4.0858
angles: 90.00 90.00 90.00
Last column: nearest neighbours and their distance in Å.
Space group P4/mmm (No. 123)
One atom of each set of equivalent atoms:
1 Nb 0.0000 0.5000 0.0000 x2  2 H 2.06
2 Ag 0.0000 0.0000 0.5000 x1  8 Nb 2.90, 4 Rh 2.91
3 H 0.5000 0.5000 0.0000 x1  2 Rh 2.04, 4 Nb 2.06
4 Rh 0.5000 0.5000 0.5000 x1  2 H 2.04

Output
As for the density: 9.51 g/cm3. For the total energy, the calculation gives -0.250 Ha/atom. The value obtained for the offset from the most stable computed form is 0.00 eV per formula unit.